# 1
VASP calculation (GGA-PBE) on crystalline LaSiW2 at its relaxed geometry.

Structure (extended XYZ):
```
4
Lattice="-2.379 2.379 3.345 2.379 -2.379 3.345 2.379 2.379 -3.345" Properties=species:S:1:pos:R:3 pbc="T T T"
La 0.000 0.000 0.000
Si 2.379 0.000 1.673
W 0.000 0.000 3.345
W 0.000 2.379 1.673
```

* calculated volume: 18.94 A^3/atom



# 2
VASP calculation (GGA-PBE) on crystalline LaSiW2 at its relaxed geometry.

Structure (extended XYZ):
```
4
Lattice="2.980 -4.587 0.000 2.980 4.587 0.000 0.000 0.000 2.763" Properties=species:S:1:pos:R:3 pbc="T T T"
La 0.000 0.000 0.000
Si 2.980 0.000 0.000
W 1.490 2.294 1.382
W 1.490 -2.294 1.382
```

* calculated volume: 18.88 A^3/atom



# 3
VASP calculation (GGA-PBE) on crystalline LaSiW at its relaxed geometry.

Structure (extended XYZ):
```
3
Lattice="0.000 3.255 3.255 3.255 0.000 3.255 3.255 3.255 0.000" Properties=species:S:1:pos:R:3 pbc="T T T"
La 0.000 0.000 0.000
Si 4.883 4.883 4.883
W 3.255 3.255 3.255
```

* calculated volume: 22.99 A^3/atom



# 4
VASP calculation (GGA-PBE) on crystalline LaSiW2 at its relaxed geometry.

Structure (extended XYZ):
```
4
Lattice="4.529 -1.671 0.000 4.529 1.671 0.000 -1.049 0.000 5.376" Properties=species:S:1:pos:R:3 pbc="T T T"
La 0.000 0.000 0.000
Si 4.004 0.000 2.688
W 1.391 0.000 3.562
W 6.617 0.000 1.814
```

* calculated volume: 20.35 A^3/atom



# 5
VASP calculation (GGA-PBE) on crystalline LaSiW2 at its relaxed geometry.

Structure (extended XYZ):
```
4
Lattice="1.695 -2.385 0.000 1.695 2.385 0.000 0.000 0.000 9.366" Properties=species:S:1:pos:R:3 pbc="T T T"
La 0.000 0.000 0.000
Si 1.695 0.000 2.674
W 0.000 0.000 4.594
W 1.695 0.000 6.650
```

* calculated volume: 18.93 A^3/atom



# 6
VASP calculation (GGA-PBE) on crystalline LaSi3W at its relaxed geometry.

Structure (extended XYZ):
```
5
Lattice="4.759 0.000 0.000 0.000 4.759 0.000 0.000 0.000 4.759" Properties=species:S:1:pos:R:3 pbc="T T T"
La 0.000 0.000 0.000
Si 0.000 2.379 2.379
Si 2.379 0.000 2.379
Si 2.379 2.379 0.000
W 2.379 2.379 2.379
```

* polymorph energy (0 for the lowest one): 0 meV per atom
* calculated volume: 21.55 A^3/atom



# 7
VASP calculation (GGA-PBE) on crystalline LaSiW at its relaxed geometry.

Structure (extended XYZ):
```
3
Lattice="-1.688 1.688 5.527 1.688 -1.688 5.527 1.688 1.688 -5.527" Properties=species:S:1:pos:R:3 pbc="T T T"
La 0.000 0.000 0.000
Si 0.000 0.000 3.195
W 0.000 0.000 7.828
```

* calculated volume: 21.00 A^3/atom



# 8
VASP calculation (GGA-PBE) on crystalline La2SiW at its relaxed geometry.

Structure (extended XYZ):
```
4
Lattice="1.754 1.013 9.523 -1.754 1.013 9.523 0.000 -2.026 9.523" Properties=species:S:1:pos:R:3 pbc="T T T"
La 0.000 0.000 7.152
La 0.000 0.000 21.417
Si 0.000 0.000 0.000
W 0.000 0.000 14.284
```

* calculated volume: 25.38 A^3/atom



# 9
VASP calculation (GGA-PBE) on crystalline LaSiW at its relaxed geometry.

Structure (extended XYZ):
```
3
Lattice="3.707 0.000 0.000 -1.854 3.211 0.000 0.000 0.000 5.711" Properties=species:S:1:pos:R:3 pbc="T T T"
La 0.000 0.000 0.000
Si 1.854 1.070 2.182
W 0.000 2.140 3.381
```

* calculated volume: 22.66 A^3/atom



# 10
VASP calculation (GGA-PBE) on crystalline LaSi2W at its relaxed geometry.

Structure (extended XYZ):
```
4
Lattice="4.096 -1.862 0.000 4.096 1.862 0.000 -1.881 0.000 5.349" Properties=species:S:1:pos:R:3 pbc="T T T"
La 0.000 0.000 0.000
Si 0.669 0.000 3.401
Si 5.642 0.000 1.948
W 3.155 0.000 2.675
```

* calculated volume: 20.40 A^3/atom



# 11
VASP calculation (GGA-PBE) on crystalline LaSiW2 at its relaxed geometry.

Structure (extended XYZ):
```
4
Lattice="3.419 0.000 0.000 0.000 4.619 0.000 -0.636 0.000 5.287" Properties=species:S:1:pos:R:3 pbc="T T T"
La 0.000 0.000 0.000
Si 1.392 0.000 2.643
W 0.610 2.310 3.570
W 2.173 2.310 1.717
```

* calculated volume: 20.88 A^3/atom



# 12
VASP calculation (GGA-PBE) on crystalline LaSi2W at its relaxed geometry.

Structure (extended XYZ):
```
4
Lattice="3.318 0.000 0.000 0.000 3.318 0.000 0.000 0.000 7.015" Properties=species:S:1:pos:R:3 pbc="T T T"
La 0.000 0.000 0.000
Si 0.000 0.000 3.626
Si 1.659 1.659 2.248
W 1.659 1.659 4.697
```

* calculated volume: 19.31 A^3/atom



# 13
VASP calculation (GGA-PBE) on crystalline La2SiW at its relaxed geometry.

Structure (extended XYZ):
```
4
Lattice="3.163 0.000 0.000 0.000 3.163 0.000 0.000 0.000 9.416" Properties=species:S:1:pos:R:3 pbc="T T T"
La 0.000 0.000 2.266
La 0.000 0.000 7.150
Si 1.581 1.581 0.000
W 1.581 1.581 4.708
```

* calculated volume: 23.54 A^3/atom



# 14
VASP calculation (GGA-PBE) on crystalline LaSiW at its relaxed geometry.

Structure (extended XYZ):
```
3
Lattice="4.311 0.000 0.000 -2.155 3.733 0.000 0.000 0.000 4.257" Properties=species:S:1:pos:R:3 pbc="T T T"
La 0.000 0.000 0.000
Si 0.000 2.489 2.128
W 2.155 1.244 2.128
```

* calculated volume: 22.83 A^3/atom



# 15
VASP calculation (GGA-PBE) on crystalline La2SiW at its relaxed geometry.

Structure (extended XYZ):
```
4
Lattice="4.380 0.000 0.000 0.000 4.258 0.000 -2.183 0.000 5.677" Properties=species:S:1:pos:R:3 pbc="T T T"
La 0.000 0.000 0.000
La -0.003 2.129 3.196
Si 2.190 0.000 2.251
W 2.190 2.129 0.940
```

* calculated volume: 26.47 A^3/atom



# 16
VASP calculation (GGA-PBE) on crystalline La2SiW at its relaxed geometry.

Structure (extended XYZ):
```
4
Lattice="-2.279 2.279 4.402 2.279 -2.279 4.402 2.279 2.279 -4.402" Properties=species:S:1:pos:R:3 pbc="T T T"
La 0.000 0.000 0.000
La 0.000 2.279 2.201
Si 2.279 0.000 2.201
W 0.000 0.000 4.402
```

* calculated volume: 22.87 A^3/atom



# 17
VASP calculation (GGA-PBE) on crystalline LaSi2W at its relaxed geometry.

Structure (extended XYZ):
```
8
Lattice="-2.475 2.475 8.133 2.475 -2.475 8.133 2.475 2.475 -8.133" Properties=species:S:1:pos:R:3 pbc="T T T"
La 2.475 1.238 2.033
La 0.000 1.238 6.100
Si 0.000 0.000 0.000
Si 1.238 1.238 -4.067
Si 1.238 -1.238 4.067
Si 0.000 2.475 0.000
W 2.475 -1.238 6.100
W 0.000 3.713 2.033
```

* calculated volume: 24.92 A^3/atom



# 18
VASP calculation (GGA-PBE) on crystalline LaSi2W at its relaxed geometry.

Structure (extended XYZ):
```
4
Lattice="0.000 3.344 3.344 3.344 0.000 3.344 3.344 3.344 0.000" Properties=species:S:1:pos:R:3 pbc="T T T"
La 0.000 0.000 0.000
Si 1.672 1.672 1.672
Si 5.015 5.015 5.015
W 3.344 3.344 3.344
```

* calculated volume: 18.69 A^3/atom



# 19
VASP calculation (GGA-PBE) on crystalline La2SiW at its relaxed geometry.

Structure (extended XYZ):
```
4
Lattice="1.847 1.066 8.920 -1.847 1.066 8.920 0.000 -2.132 8.920" Properties=species:S:1:pos:R:3 pbc="T T T"
La 0.000 0.000 0.000
La 0.000 0.000 5.563
Si 0.000 0.000 12.445
W 0.000 0.000 20.122
```

* calculated volume: 26.34 A^3/atom



# 20
VASP calculation (GGA-PBE) on crystalline LaSi2W at its relaxed geometry.

Structure (extended XYZ):
```
4
Lattice="1.515 0.875 9.386 -1.515 0.875 9.386 0.000 -1.749 9.386" Properties=species:S:1:pos:R:3 pbc="T T T"
La 0.000 0.000 0.000
Si 0.000 0.000 13.916
Si 0.000 0.000 21.428
W 0.000 0.000 6.482
```

* calculated volume: 18.65 A^3/atom



# 21
VASP calculation (GGA-PBE) on crystalline LaSi2W2 at its relaxed geometry.

Structure (extended XYZ):
```
5
Lattice="-2.321 2.321 4.640 2.321 -2.321 4.640 2.321 2.321 -4.640" Properties=species:S:1:pos:R:3 pbc="T T T"
La 0.000 0.000 0.000
Si 2.321 0.000 2.320
Si 0.000 2.321 2.320
W 0.000 0.000 3.433
W 0.000 0.000 5.847
```

* calculated volume: 19.99 A^3/atom



# 22
VASP calculation (GGA-PBE) on crystalline La2SiW at its relaxed geometry.

Structure (extended XYZ):
```
4
Lattice="3.340 -4.510 0.000 3.340 4.510 0.000 0.000 0.000 3.130" Properties=species:S:1:pos:R:3 pbc="T T T"
La 1.670 2.255 0.000
La 1.670 -2.255 0.000
Si 0.000 0.000 1.565
W 3.340 0.000 1.565
```

* calculated volume: 23.57 A^3/atom



# 23
VASP calculation (GGA-PBE) on crystalline LaSiW2 at its relaxed geometry.

Structure (extended XYZ):
```
4
Lattice="3.382 0.000 0.000 0.000 3.382 0.000 0.000 0.000 6.882" Properties=species:S:1:pos:R:3 pbc="T T T"
La 0.000 0.000 0.000
Si 0.000 0.000 3.441
W 1.691 1.691 2.247
W 1.691 1.691 4.635
```

* calculated volume: 19.68 A^3/atom



# 24
VASP calculation (GGA-PBE) on crystalline LaSiW2 at its relaxed geometry.

Structure (extended XYZ):
```
4
Lattice="1.583 0.914 9.019 -1.583 0.914 9.019 0.000 -1.828 9.019" Properties=species:S:1:pos:R:3 pbc="T T T"
La 0.000 0.000 0.000
Si 0.000 0.000 6.409
W 0.000 0.000 13.556
W 0.000 0.000 20.659
```

* calculated volume: 19.58 A^3/atom



# 25
VASP calculation (GGA-PBE) on crystalline La2SiW at its relaxed geometry.

Structure (extended XYZ):
```
4
Lattice="4.795 0.000 0.000 0.000 4.795 0.000 0.000 0.000 4.186" Properties=species:S:1:pos:R:3 pbc="T T T"
La 0.000 2.397 0.000
La 2.397 0.000 0.000
Si 0.000 0.000 2.093
W 2.397 2.397 2.093
```

* calculated volume: 24.06 A^3/atom



# 26
VASP calculation (GGA-PBE) on crystalline LaSiW2 at its relaxed geometry.

Structure (extended XYZ):
```
4
Lattice="3.055 -4.662 0.000 3.055 4.662 0.000 -1.406 0.000 2.593" Properties=species:S:1:pos:R:3 pbc="T T T"
La 0.000 0.000 0.000
Si 3.055 0.000 0.000
W 0.825 2.331 1.296
W 0.825 -2.331 1.296
```

* calculated volume: 18.46 A^3/atom



# 27
VASP calculation (GGA-PBE) on crystalline La3YSi at its relaxed geometry.

Structure (extended XYZ):
```
5
Lattice="5.646 0.000 0.000 0.000 5.646 0.000 0.000 0.000 5.646" Properties=species:S:1:pos:R:3 pbc="T T T"
La 0.000 0.000 2.823
La 0.000 2.823 0.000
La 2.823 0.000 0.000
Y 0.000 0.000 0.000
Si 2.823 2.823 2.823
```

* polymorph energy (0 for the lowest one): 796 meV per atom
* calculated volume: 36.00 A^3/atom



# 28
VASP calculation (GGA-PBE) on crystalline LaY2Si2 at its relaxed geometry.

Structure (extended XYZ):
```
10
Lattice="8.278 0.000 0.000 0.000 8.278 0.000 0.000 0.000 3.697" Properties=species:S:1:pos:R:3 pbc="T T T"
La 0.000 0.000 0.000
La 4.139 4.139 0.000
Y 1.220 2.919 1.848
Y 2.919 7.058 1.848
Y 5.359 1.220 1.848
Y 7.058 5.359 1.848
Si 1.269 5.408 0.000
Si 2.870 1.269 0.000
Si 5.408 7.009 0.000
Si 7.009 2.870 0.000
```

* polymorph energy (0 for the lowest one): 3 meV per atom
* calculated volume: 25.33 A^3/atom



# 29
VASP calculation (GGA-PBE) on crystalline LaY2Si2 at its relaxed geometry.

Structure (extended XYZ):
```
5
Lattice="-2.265 2.265 6.256 2.265 -2.265 6.256 2.265 2.265 -6.256" Properties=species:S:1:pos:R:3 pbc="T T T"
La 0.000 0.000 0.000
Y 2.265 0.000 3.128
Y 0.000 2.265 3.128
Si 0.000 0.000 5.053
Si 0.000 0.000 7.460
```

* polymorph energy (0 for the lowest one): 0 meV per atom
* calculated volume: 25.69 A^3/atom



# 30
VASP calculation (GGA-PBE) on crystalline La4YSi at its relaxed geometry.

Structure (extended XYZ):
```
6
Lattice="0.000 4.601 4.601 4.601 0.000 4.601 4.601 4.601 0.000" Properties=species:S:1:pos:R:3 pbc="T T T"
La 1.149 1.149 1.149
La 3.452 3.452 1.149
La 3.452 1.149 3.452
La 1.149 3.452 3.452
Y 4.601 4.601 4.601
Si 6.902 6.902 6.902
```

* calculated volume: 32.47 A^3/atom



| no. | Fermi-level density of states (states/eV per cell) | electronic total energy (eV/cell) |
| --- | --- | --- |
| 1 | 2.4 | -33.9 |
| 2 | 3.5 | -32.6 |
| 3 | 2.4 | -21.8 |
| 4 | 2.5 | -35.0 |
| 5 | 3.8 | -34.8 |
| 6 | 2.7 | -34.4 |
| 7 | 2.4 | -23.2 |
| 8 | 3.4 | -25.9 |
| 9 | 2.5 | -22.4 |
| 10 | 2.5 | -30.0 |
| 11 | 3.4 | -34.3 |
| 12 | 4.9 | -28.6 |
| 13 | 3.9 | -26.8 |
| 14 | 2.5 | -23.1 |
| 15 | 4.4 | -28.3 |
| 16 | 5.8 | -26.8 |
| 17 | 6.8 | -57.2 |
| 18 | 5.0 | -28.1 |
| 19 | 4.6 | -27.5 |
| 20 | 3.5 | -26.8 |
| 21 | 5.1 | -41.7 |
| 22 | 3.9 | -27.0 |
| 23 | 2.1 | -35.0 |
| 24 | 3.6 | -34.5 |
| 25 | 5.4 | -27.0 |
| 26 | 3.0 | -33.6 |
| 27 | 5.4 | -22.6 |
| 28 | 12.0 | -63.1 |
| 29 | 4.8 | -31.6 |
| 30 | 9.9 | -29.4 |